# 1
## TlHgMo2 (PBE)

Data for a relaxed structure of TlHgMo2.

Lattice parameters (Å, degrees): 5.7574 9.0649 2.8676 90.00 90.00 90.00
Space group Cmmm (No. 65)
Unique sites:
1 Tl 0.0000 0.0000 0.0000 [2 per cell]
2 Hg 0.0000 0.5000 0.0000 [2 per cell]
3 Mo 0.2500 0.2500 0.5000 [4 per cell]

Computed properties:
VASP energy: -5.255 eV per atom
V: 18.71 Å³ per atom
M_tot: 0.0 μB/cell
formation energy: 0.83 eV/atom

=====

# 2
## TlHgMo2 (PBE)

Data for a relaxed structure of TlHgMo2.

Lattice parameters (Å, degrees): 6.6530 6.6530 6.6530 90.00 90.00 90.00
Space group Fm-3m (No. 225)
Unique sites:
1 Tl 0.0000 0.0000 0.0000 [4 per cell]
2 Hg 0.0000 0.0000 0.5000 [4 per cell]
3 Mo 0.2500 0.2500 0.2500 [8 per cell]

Computed properties:
VASP energy: -5.177 eV per atom
V: 18.41 Å³ per atom
M_tot: 0.0 μB/cell
formation energy: 0.91 eV/atom

=====

# 3
## TlHgMo2 (PBE)

Data for a relaxed structure of TlHgMo2.

Lattice parameters (Å, degrees): 2.8711 2.8711 9.0951 90.00 90.00 90.00
Space group P4/mmm (No. 123)
Unique sites:
1 Tl 0.0000 0.0000 0.0000 [1 per cell]
2 Hg 0.0000 0.0000 0.5000 [1 per cell]
3 Mo 0.5000 0.5000 0.2554 [2 per cell]

Computed properties:
VASP energy: -5.244 eV per atom
V: 18.74 Å³ per atom
M_tot: 0.0 μB/cell
formation energy: 0.84 eV/atom

=====

# 4
## TlHgMo2 (PBE)

Data for a relaxed structure of TlHgMo2.

Lattice parameters (Å, degrees): 3.0140 3.0140 28.7530 90.00 90.00 120.00
Space group R-3m (No. 166, hexagonal axes)
Unique sites:
1 Tl 0.0000 0.0000 0.0000 [3 per cell]
2 Hg 0.0000 0.0000 0.5000 [3 per cell]
3 Mo 0.0000 0.0000 0.2493 [6 per cell]

Computed properties:
VASP energy: -5.303 eV per atom
V: 18.85 Å³ per atom
M_tot: 0.0 μB/cell
formation energy: 0.78 eV/atom

=====

# 5
## TlHgMo (PBE)

Data for a relaxed structure of TlHgMo.

Lattice parameters (Å, degrees): 6.6676 6.6676 6.6676 90.00 90.00 90.00
Space group F-43m (No. 216)
Unique sites:
1 Tl 0.0000 0.0000 0.0000 [4 per cell]
2 Hg 0.0000 0.0000 0.5000 [4 per cell]
3 Mo 0.2500 0.2500 0.7500 [4 per cell]

Computed properties:
VASP energy: -3.534 eV per atom
V: 24.70 Å³ per atom
M_tot: 9.1 μB/cell
formation energy: 0.97 eV/atom

=====

# 6
## TlHgMo2 (PBE)

Data for a relaxed structure of TlHgMo2.

Lattice parameters (Å, degrees): 3.3866 4.6901 9.5042 90.00 90.00 90.00
Space group Cmmm (No. 65)
Unique sites:
1 Tl 0.0000 0.0000 0.0000 [2 per cell]
2 Hg 0.0000 0.0000 0.5000 [2 per cell]
3 Mo 0.0000 0.5000 0.2510 [4 per cell]

Computed properties:
VASP energy: -5.285 eV per atom
V: 18.87 Å³ per atom
M_tot: 0.0 μB/cell
formation energy: 0.80 eV/atom

=====

# 7
## TlHgMo2 (PBE)

Data for a relaxed structure of TlHgMo2.

Lattice parameters (Å, degrees): 3.2779 4.9147 9.8271 90.00 90.00 90.00
Space group Imm2 (No. 44)
Unique sites:
1 Tl 0.0000 0.0000 0.0000 [2 per cell]
2 Hg 0.0000 0.5000 0.7766 [2 per cell]
3 Mo 0.0000 0.0000 0.5433 [2 per cell]
4 Mo 0.0000 0.5000 0.2304 [2 per cell]

Computed properties:
VASP energy: -5.474 eV per atom
V: 19.79 Å³ per atom
M_tot: 0.0 μB/cell
formation energy: 0.61 eV/atom

=====

# 8
## TlHgMo (PBE)

Data for a relaxed structure of TlHgMo.

Lattice parameters (Å, degrees): 3.0883 3.0883 7.6475 90.00 90.00 120.00
Space group P3m1 (No. 156)
Unique sites:
1 Tl 0.0000 0.0000 0.0000 [1 per cell]
2 Hg 0.6667 0.3333 0.3720 [1 per cell]
3 Mo 0.3333 0.6667 0.6786 [1 per cell]

Computed properties:
VASP energy: -3.809 eV per atom
V: 21.06 Å³ per atom
M_tot: 0.0 μB/cell
formation energy: 0.69 eV/atom

=====

# 9
## TlHgMo2 (PBE)

Data for a relaxed structure of TlHgMo2.

Lattice parameters (Å, degrees): 7.6355 7.6355 5.6442 90.00 90.00 90.00
Space group I-42d (No. 122)
Unique sites:
1 Tl 0.0000 0.0000 0.0000 [4 per cell]
2 Hg 0.0000 0.0000 0.5000 [4 per cell]
3 Mo 0.2477 0.2500 0.6250 [8 per cell]

Computed properties:
VASP energy: -4.858 eV per atom
V: 20.57 Å³ per atom
M_tot: 4.3 μB/cell
formation energy: 1.22 eV/atom

=====

# 10
## TlHgMo4 (PBE)

Data for a relaxed structure of TlHgMo4.

Lattice parameters (Å, degrees): 7.6247 7.6247 7.6247 90.00 90.00 90.00
Space group F-43m (No. 216)
Unique sites:
1 Tl 0.0000 0.0000 0.0000 [4 per cell]
2 Hg 0.2500 0.2500 0.7500 [4 per cell]
3 Mo 0.1235 0.1235 0.3765 [16 per cell]

Computed properties:
VASP energy: -6.973 eV per atom
V: 18.47 Å³ per atom
M_tot: 0.0 μB/cell
formation energy: 0.69 eV/atom

=====

# 11
## TlHgMo2 (PBE)

Data for a relaxed structure of TlHgMo2.

Lattice parameters (Å, degrees): 3.1963 3.1963 7.9886 90.00 90.00 90.00
Space group P4mm (No. 99)
Unique sites:
1 Tl 0.0000 0.0000 0.0000 [1 per cell]
2 Hg 0.5000 0.5000 0.3135 [1 per cell]
3 Mo 0.0000 0.0000 0.5670 [1 per cell]
4 Mo 0.5000 0.5000 0.7311 [1 per cell]

Computed properties:
VASP energy: -5.624 eV per atom
V: 20.40 Å³ per atom
M_tot: 0.0 μB/cell
formation energy: 0.46 eV/atom

=====

# 12
## TlHgMo2 (PBE)

Data for a relaxed structure of TlHgMo2.

Lattice parameters (Å, degrees): 5.0220 5.0220 2.9491 90.00 90.00 90.00
Space group P4/mmm (No. 123)
Unique sites:
1 Tl 0.0000 0.0000 0.0000 [1 per cell]
2 Hg 0.5000 0.5000 0.0000 [1 per cell]
3 Mo 0.0000 0.5000 0.5000 [2 per cell]

Computed properties:
VASP energy: -5.199 eV per atom
V: 18.59 Å³ per atom
M_tot: 0.0 μB/cell
formation energy: 0.88 eV/atom

=====

# 13
## TlHgMo (PBE)

Data for a relaxed structure of TlHgMo.

Lattice parameters (Å, degrees): 2.9522 2.9522 14.9081 90.00 90.00 90.00
Space group I4mm (No. 107)
Unique sites:
1 Tl 0.0000 0.0000 0.0000 [2 per cell]
2 Hg 0.0000 0.0000 0.6990 [2 per cell]
3 Mo 0.0000 0.0000 0.3409 [2 per cell]

Computed properties:
VASP energy: -3.764 eV per atom
V: 21.65 Å³ per atom
M_tot: 0.0 μB/cell
formation energy: 0.74 eV/atom

=====

# 14
## TlHgMo2 (PBE)

Data for a relaxed structure of TlHgMo2.

Lattice parameters (Å, degrees): 4.0625 4.0625 9.0540 90.00 90.00 90.00
Space group I4/mmm (No. 139)
Unique sites:
1 Tl 0.0000 0.0000 0.0000 [2 per cell]
2 Hg 0.0000 0.0000 0.5000 [2 per cell]
3 Mo 0.0000 0.5000 0.2500 [4 per cell]

Computed properties:
VASP energy: -5.261 eV per atom
V: 18.68 Å³ per atom
M_tot: 0.0 μB/cell
formation energy: 0.82 eV/atom

=====

# 15
## Tl4HgMo (PBE)

Data for a relaxed structure of Tl4HgMo.

Lattice parameters (Å, degrees): 8.9489 8.9489 8.9489 90.00 90.00 90.00
Space group F-43m (No. 216)
Unique sites:
1 Tl 0.1254 0.1254 0.1254 [16 per cell]
2 Hg 0.2500 0.2500 0.7500 [4 per cell]
3 Mo 0.0000 0.0000 0.5000 [4 per cell]

Computed properties:
VASP energy: -2.634 eV per atom
V: 29.86 Å³ per atom
M_tot: 17.9 μB/cell
formation energy: 0.80 eV/atom